No. 1
Mg2Sc at its PBEsol-relaxed geometry. Source: Alexandria, functional meta-GGA SCAN.

Calculated values
Space-group type   Cmcm (63)
Formation energy from the elements   -0.0194 eV per atom
Fermi-level density of states   2.6 states/eV/f.u.

a b c (Å): 8.307 8.307 5.127
angles (deg): 90.00 90.00 157.31
Sites, in units of the cell vectors:
1 Mg 0.108 0.892 0.750
2 Mg 0.225 0.775 0.250
3 Mg 0.775 0.225 0.750
4 Mg 0.892 0.108 0.250
5 Sc 0.442 0.558 0.750
6 Sc 0.558 0.442 0.250

---

No. 2
MnCrAu4 at its PBEsol-relaxed geometry. Source: Alexandria, functional meta-GGA SCAN.

Calculated values
Space-group type   F-43m (216)
Formation energy from the elements   -0.0007 eV per atom
Fermi-level density of states   2.3 states/eV/f.u.

a b c (Å): 5.348 5.348 5.348
angles (deg): 60.00 60.00 60.00
Sites, in units of the cell vectors:
1 Mn 0.000 0.000 0.000
2 Cr 0.750 0.750 0.750
3 Au 0.375 0.375 0.375
4 Au 0.375 0.375 0.875
5 Au 0.375 0.875 0.375
6 Au 0.875 0.375 0.375

---

No. 3
Li2Pr2Si3 at its PBEsol-relaxed geometry. Source: Alexandria, functional meta-GGA SCAN.

Calculated values
Space-group type   Cmcm (63)
Formation energy from raw total energies   -646 meV/atom
Fermi-level density of states   0.9 states/eV/f.u.

a b c (Å): 9.479 9.479 6.776
angles (deg): 90.00 90.00 153.21
Sites, in units of the cell vectors:
1 Li 0.188 0.812 0.561
2 Li 0.188 0.812 0.939
3 Li 0.812 0.188 0.061
4 Li 0.812 0.188 0.439
5 Pr 0.342 0.658 0.750
6 Pr 0.448 0.552 0.250
7 Pr 0.552 0.448 0.750
8 Pr 0.658 0.342 0.250
9 Si 0.058 0.942 0.075
10 Si 0.058 0.942 0.425
11 Si 0.280 0.720 0.250
12 Si 0.720 0.280 0.750
13 Si 0.942 0.058 0.575
14 Si 0.942 0.058 0.925

---

No. 4
SrHg2W at its PBEsol-relaxed geometry. Source: Alexandria, functional meta-GGA SCAN.

Calculated values
Space-group type   Imm2 (44)
Excess energy over the best structure of this formula in the dataset   118 meV per atom
Formation energy from the elements   0.7166 eV per atom
Fermi-level density of states   2.7 states/eV/f.u.

a b c (Å): 6.194 6.194 6.194
angles (deg): 151.06 129.71 59.07
Sites, in units of the cell vectors:
1 Sr 0.000 0.000 0.000
2 Hg 0.480 0.480 0.000
3 Hg 0.729 0.229 0.500
4 W 0.262 0.762 0.500

---

No. 5
TeIrBr at its PBEsol-relaxed geometry. Source: Alexandria, functional meta-GGA SCAN.

Calculated values
Space-group type   I4mm (107)
Formation energy from raw total energies   274 meV/atom
Fermi-level density of states   0.3 states/eV/f.u.

a b c (Å): 6.593 6.593 6.593
angles (deg): 151.29 151.29 41.05
Sites, in units of the cell vectors:
1 Te 0.000 0.000 0.000
2 Ir 0.610 0.610 0.000
3 Br 0.264 0.264 0.000

---

No. 6
Cu2Au at its PBEsol-relaxed geometry. Source: Alexandria, functional meta-GGA SCAN.

Calculated values
Space-group type   I4/mmm (139)
Excess energy over the best structure of this formula in the dataset   47 meV per atom
Formation energy from the elements   -0.0263 eV per atom
Fermi-level density of states   0.9 states/eV/f.u.

a b c (Å): 5.613 5.613 5.613
angles (deg): 151.66 151.66 40.51
Sites, in units of the cell vectors:
1 Cu 0.177 0.177 0.000
2 Cu 0.823 0.823 0.000
3 Au 0.500 0.500 0.000

---

No. 7
BaW2Au at its PBEsol-relaxed geometry. Source: Alexandria, functional meta-GGA SCAN.

Calculated values
Space-group type   Pmmm (47)
Excess energy over the best structure of this formula in the dataset   61 meV per atom
Formation energy from the elements   1.2977 eV per atom
Fermi-level density of states   2.6 states/eV/f.u.

a b c (Å): 2.851 5.210 5.492
angles (deg): 90.00 90.00 90.00
Sites, in units of the cell vectors:
1 Ba 0.000 0.000 0.000
2 W 0.000 0.500 0.500
3 W 0.500 0.000 0.500
4 Au 0.500 0.500 0.000

---

No. 8
SiSbPt3 at its PBEsol-relaxed geometry. Source: Alexandria, functional meta-GGA SCAN.

Calculated values
Space-group type   Pm-3m (221)
Formation energy from raw total energies   1093 meV/atom
Fermi-level density of states   2.6 states/eV/f.u.

a b c (Å): 4.864 4.864 4.864
angles (deg): 90.00 90.00 90.00
Sites, in units of the cell vectors:
1 Si 0.000 0.000 0.000
2 Sb 0.500 0.500 0.500
3 Pt 0.000 0.500 0.500
4 Pt 0.500 0.000 0.500
5 Pt 0.500 0.500 0.000

---

No. 9
La2AlFeCo at its PBEsol-relaxed geometry. Source: Alexandria, functional meta-GGA SCAN.

Calculated values
Space-group type   P4/mmm (123)
Formation energy from the elements   0.1644 eV per atom
Fermi-level density of states   5.5 states/eV/f.u.

a b c (Å): 5.138 5.138 4.478
angles (deg): 90.00 90.00 90.00
Sites, in units of the cell vectors:
1 La 0.000 0.500 0.000
2 La 0.500 0.000 0.000
3 Al 0.000 0.000 0.500
4 Fe 0.500 0.500 0.500
5 Co 0.500 0.500 0.000

---

No. 10
Be2NiHg at its PBEsol-relaxed geometry. Source: Alexandria, functional meta-GGA SCAN.

Calculated values
Space-group type   C2/m (12)
Formation energy from the elements   0.1327 eV per atom
Fermi-level density of states   1.3 states/eV/f.u.

a b c (Å): 4.120 4.120 4.488
angles (deg): 102.83 102.83 40.53
Sites, in units of the cell vectors:
1 Be 0.229 0.229 0.169
2 Be 0.771 0.771 0.831
3 Ni 0.500 0.500 0.000
4 Hg 0.000 0.000 0.500

---

No. 11
SiAsCBr2 at its PBEsol-relaxed geometry. Source: Alexandria, functional meta-GGA SCAN.

Calculated values
Space-group type   P4/mmm (123)
Formation energy from raw total energies   1454 meV/atom
Fermi-level density of states   2.3 states/eV/f.u.

a b c (Å): 4.491 4.491 4.498
angles (deg): 90.00 90.00 90.00
Sites, in units of the cell vectors:
1 Si 0.000 0.000 0.000
2 As 0.500 0.500 0.000
3 C 0.500 0.500 0.500
4 Br 0.000 0.500 0.500
5 Br 0.500 0.000 0.500

---

No. 12
TlSb2Pb at its PBEsol-relaxed geometry. Source: Alexandria, functional meta-GGA SCAN.

Calculated values
Space-group type   C2/m (12)
Formation energy from raw total energies   114 meV/atom
Fermi-level density of states   1.7 states/eV/f.u.

a b c (Å): 6.104 6.104 3.328
angles (deg): 91.38 91.38 114.83
Sites, in units of the cell vectors:
1 Tl 0.000 0.000 0.000
2 Sb 0.000 0.500 0.500
3 Sb 0.500 0.000 0.500
4 Pb 0.500 0.500 0.000